Entry 1:
# ZrOs2Au | Alexandria | GGA-PBE | optimized geometry
# **Formation energy**: 320 meV/atom
# **E above lowest polymorph**: 0.376 eV/atom
# **Calculated density**: 16.4 Mg/m³
# **E_tot**: -132.0 eV per cell
# **Total magnetic moment**: 0.000 μB per formula unit
data_ZrOs2Au
_cell_length_a 6.469
_cell_length_b 6.469
_cell_length_c 6.469
_cell_angle_alpha 90.00
_cell_angle_beta 90.00
_cell_angle_gamma 90.00
_symmetry_space_group_name_H-M 'F m -3 m'
_symmetry_Int_Tables_number 225
_symmetry_space_group_name_Hall '-F 4 2 3'
loop_
_atom_site_label
_atom_site_fract_x
_atom_site_fract_y
_atom_site_fract_z
Zr1 0.000 0.000 0.000
Os1 0.250 0.250 0.250
Au1 0.000 0.000 0.500

***

Entry 2:
# Zr2OsAu | Alexandria | GGA-PBE | optimized geometry
# **Formation energy**: -276 meV/atom
# **Calculated density**: 12.2 Mg/m³
# **E_tot**: -65.4 eV per cell
# **Total magnetic moment**: 0.000 μB per formula unit
data_Zr2OsAu
_cell_length_a 10.406
_cell_length_b 3.326
_cell_length_c 4.688
_cell_angle_alpha 90.00
_cell_angle_beta 107.84
_cell_angle_gamma 90.00
_symmetry_space_group_name_H-M 'C 1 m 1'
_symmetry_Int_Tables_number 8
loop_
_symmetry_equiv_pos_as_xyz
'x,y,z'
'x,-y,z'
'x+1/2,y+1/2,z'
'x+1/2,-y+1/2,z'
loop_
_atom_site_label
_atom_site_fract_x
_atom_site_fract_y
_atom_site_fract_z
Zr1 0.000 0.000 0.000
Zr2 0.222 0.000 0.685
Os1 0.219 0.500 0.185
Au1 0.457 0.000 0.465

***

Entry 3:
# ZrOs2Au | Alexandria | GGA-PBE | optimized geometry
# **Formation energy**: 410 meV/atom
# **E above lowest polymorph**: 0.466 eV/atom
# **Calculated density**: 16.4 Mg/m³
# **E_tot**: -32.6 eV per cell
# **Total magnetic moment**: 0.000 μB per formula unit
data_ZrOs2Au
_cell_length_a 2.891
_cell_length_b 2.891
_cell_length_c 8.115
_cell_angle_alpha 90.00
_cell_angle_beta 90.00
_cell_angle_gamma 90.00
_symmetry_space_group_name_H-M 'P 4/m m m'
_symmetry_Int_Tables_number 123
_symmetry_space_group_name_Hall '-P 4 2'
loop_
_atom_site_label
_atom_site_fract_x
_atom_site_fract_y
_atom_site_fract_z
Zr1 0.000 0.000 0.000
Os1 0.500 0.500 0.254
Au1 0.000 0.000 0.500

***

Entry 4:
# Zr2OsAu | Alexandria | GGA-PBE | optimized geometry
# **Formation energy**: -258 meV/atom
# **Calculated density**: 12.7 Mg/m³
# **E_tot**: -65.3 eV per cell
# **Total magnetic moment**: 0.000 μB per formula unit
data_Zr2OsAu
_cell_length_a 4.113
_cell_length_b 4.113
_cell_length_c 8.802
_cell_angle_alpha 90.00
_cell_angle_beta 90.00
_cell_angle_gamma 90.00
_symmetry_space_group_name_H-M 'I -4 m 2'
_symmetry_Int_Tables_number 119
_symmetry_space_group_name_Hall 'I -4 -2'
loop_
_atom_site_label
_atom_site_fract_x
_atom_site_fract_y
_atom_site_fract_z
Zr1 0.000 0.000 0.000
Zr2 0.000 0.500 0.250
Os1 0.000 0.000 0.500
Au1 0.000 0.500 0.750

***

Entry 5:
# ZrOsAu2 | Alexandria | GGA-PBE | optimized geometry
# **Formation energy**: 250 meV/atom
# **E above lowest polymorph**: 0.435 eV/atom
# **Calculated density**: 15.7 Mg/m³
# **E_tot**: -25.3 eV per cell
# **Total magnetic moment**: 1.566 μB per formula unit
data_ZrOsAu2
_cell_length_a 2.956
_cell_length_b 2.956
_cell_length_c 8.165
_cell_angle_alpha 90.00
_cell_angle_beta 90.00
_cell_angle_gamma 90.00
_symmetry_space_group_name_H-M 'P 4/m m m'
_symmetry_Int_Tables_number 123
_symmetry_space_group_name_Hall '-P 4 2'
loop_
_atom_site_label
_atom_site_fract_x
_atom_site_fract_y
_atom_site_fract_z
Zr1 0.000 0.000 0.000
Os1 0.000 0.000 0.500
Au1 0.500 0.500 0.261

***

Entry 6:
# Zr2Os2Au | Alexandria | GGA-PBE | optimized geometry
# **Formation energy**: 60 meV/atom
# **E above lowest polymorph**: 0.234 eV/atom
# **Calculated density**: 12.5 Mg/m³
# **E_tot**: -85.1 eV per cell
# **Total magnetic moment**: 0.000 μB per formula unit
data_Zr2Os2Au
_cell_length_a 3.678
_cell_length_b 3.678
_cell_length_c 14.923
_cell_angle_alpha 90.00
_cell_angle_beta 90.00
_cell_angle_gamma 90.00
_symmetry_space_group_name_H-M 'I 4/m m m'
_symmetry_Int_Tables_number 139
_symmetry_space_group_name_Hall '-I 4 2'
loop_
_atom_site_label
_atom_site_fract_x
_atom_site_fract_y
_atom_site_fract_z
Zr1 0.000 0.000 0.110
Os1 0.000 0.500 0.250
Au1 0.000 0.000 0.500

***

Entry 7:
# PAu8 | Alexandria | GGA-PBE | optimized geometry
# **Formation energy**: 140 meV/atom
# **Calculated density**: 16.6 Mg/m³
# **E_tot**: -60.7 eV per cell
# **Total magnetic moment**: 0.000 μB per formula unit
data_PAu8
_cell_length_a 8.799
_cell_length_b 8.799
_cell_length_c 4.155
_cell_angle_alpha 90.00
_cell_angle_beta 90.00
_cell_angle_gamma 90.00
_symmetry_space_group_name_H-M 'I 4/m m m'
_symmetry_Int_Tables_number 139
_symmetry_space_group_name_Hall '-I 4 2'
loop_
_atom_site_label
_atom_site_fract_x
_atom_site_fract_y
_atom_site_fract_z
P1 0.000 0.000 0.000
Au1 0.000 0.331 0.000
Au2 0.165 0.165 0.500

***

Entry 8:
# PAu | Alexandria | GGA-PBE | optimized geometry
# **Formation energy**: 310 meV/atom
# **E above lowest polymorph**: 0.437 eV/atom
# **Calculated density**: 7.3 Mg/m³
# **E_tot**: -64.5 eV per cell
# **Total magnetic moment**: 0.000 μB per formula unit
data_PAu
_cell_length_a 9.693
_cell_length_b 9.693
_cell_length_c 4.418
_cell_angle_alpha 90.00
_cell_angle_beta 90.00
_cell_angle_gamma 90.00
_symmetry_space_group_name_H-M 'P 4/m'
_symmetry_Int_Tables_number 83
loop_
_symmetry_equiv_pos_as_xyz
'x,y,z'
'-x,-y,-z'
'-y,x,z'
'y,-x,-z'
'-x,-y,z'
'x,y,-z'
'y,-x,z'
'-y,x,-z'
loop_
_atom_site_label
_atom_site_fract_x
_atom_site_fract_y
_atom_site_fract_z
P1 0.092 0.324 0.000
P2 0.168 0.686 0.500
Au1 0.074 0.239 0.500
Au2 0.155 0.568 0.000

***

Entry 9:
# PAu | Alexandria | GGA-PBE | optimized geometry
# **Formation energy**: 266 meV/atom
# **E above lowest polymorph**: 0.394 eV/atom
# **Calculated density**: 9.4 Mg/m³
# **E_tot**: -16.3 eV per cell
# **Total magnetic moment**: 0.000 μB per formula unit
data_PAu
_cell_length_a 2.998
_cell_length_b 3.983
_cell_length_c 6.779
_cell_angle_alpha 90.00
_cell_angle_beta 90.00
_cell_angle_gamma 90.00
_symmetry_space_group_name_H-M 'I m m 2'
_symmetry_Int_Tables_number 44
loop_
_symmetry_equiv_pos_as_xyz
'x,y,z'
'-x,-y,z'
'-x,y,z'
'x,-y,z'
'x+1/2,y+1/2,z+1/2'
'-x+1/2,-y+1/2,z+1/2'
'-x+1/2,y+1/2,z+1/2'
'x+1/2,-y+1/2,z+1/2'
loop_
_atom_site_label
_atom_site_fract_x
_atom_site_fract_y
_atom_site_fract_z
P1 0.000 0.000 0.000
Au1 0.000 0.500 0.206

***

Entry 10:
# PAu | Alexandria | GGA-PBE | optimized geometry
# **Formation energy**: 239 meV/atom
# **E above lowest polymorph**: 0.367 eV/atom
# **Calculated density**: 10.5 Mg/m³
# **E_tot**: -8.2 eV per cell
# **Total magnetic moment**: 0.000 μB per formula unit
data_PAu
_cell_length_a 3.633
_cell_length_b 3.633
_cell_length_c 2.720
_cell_angle_alpha 90.00
_cell_angle_beta 90.00
_cell_angle_gamma 90.00
_symmetry_space_group_name_H-M 'P 4/m m m'
_symmetry_Int_Tables_number 123
_symmetry_space_group_name_Hall '-P 4 2'
loop_
_atom_site_label
_atom_site_fract_x
_atom_site_fract_y
_atom_site_fract_z
P1 0.000 0.000 0.000
Au1 0.500 0.500 0.000

***

Entry 11:
# PAu | Alexandria | GGA-PBE | optimized geometry
# **Formation energy**: 286 meV/atom
# **E above lowest polymorph**: 0.414 eV/atom
# **Calculated density**: 10.4 Mg/m³
# **E_tot**: -32.5 eV per cell
# **Total magnetic moment**: 0.000 μB per formula unit
data_PAu
_cell_length_a 6.155
_cell_length_b 3.159
_cell_length_c 7.479
_cell_angle_alpha 90.00
_cell_angle_beta 90.00
_cell_angle_gamma 90.00
_symmetry_space_group_name_H-M 'P n m a'
_symmetry_Int_Tables_number 62
loop_
_symmetry_equiv_pos_as_xyz
'x,y,z'
'-x,-y,-z'
'-x+1/2,-y,z+1/2'
'x+1/2,y,-z+1/2'
'x+1/2,-y+1/2,-z+1/2'
'-x+1/2,y+1/2,z+1/2'
'-x,y+1/2,-z'
'x,-y+1/2,z'
loop_
_atom_site_label
_atom_site_fract_x
_atom_site_fract_y
_atom_site_fract_z
P1 0.070 0.250 0.096
Au1 0.087 0.250 0.652

***

Entry 12:
# PAu | Alexandria | GGA-PBE | optimized geometry
# **Formation energy**: 427 meV/atom
# **E above lowest polymorph**: 0.555 eV/atom
# **Calculated density**: 10.3 Mg/m³
# **E_tot**: -47.0 eV per cell
# **Total magnetic moment**: 0.000 μB per formula unit
data_PAu
_cell_length_a 4.5302
_cell_length_b 4.5302
_cell_length_c 12.4078
_cell_angle_alpha 90.00
_cell_angle_beta 90.00
_cell_angle_gamma 120.00
_symmetry_space_group_name_H-M 'R -3 m'
_symmetry_Int_Tables_number 166
_symmetry_space_group_name_Hall '-R 3 2"'
loop_
_atom_site_label
_atom_site_fract_x
_atom_site_fract_y
_atom_site_fract_z
P1 0.0000 0.0000 0.1886
Au1 0.0000 0.0000 0.3862

***

Entry 13:
# PAu | Alexandria | GGA-PBE | optimized geometry
# **Formation energy**: 522 meV/atom
# **E above lowest polymorph**: 0.650 eV/atom
# **Calculated density**: 11.0 Mg/m³
# **E_tot**: -7.6 eV per cell
# **Total magnetic moment**: 0.000 μB per formula unit
data_PAu
_cell_length_a 2.772
_cell_length_b 2.772
_cell_length_c 4.498
_cell_angle_alpha 90.00
_cell_angle_beta 90.00
_cell_angle_gamma 90.00
_symmetry_space_group_name_H-M 'P 4/m m m'
_symmetry_Int_Tables_number 123
_symmetry_space_group_name_Hall '-P 4 2'
loop_
_atom_site_label
_atom_site_fract_x
_atom_site_fract_y
_atom_site_fract_z
P1 0.000 0.000 0.000
Au1 0.500 0.500 0.500

***

Entry 14:
# P4Au3 | Alexandria | GGA-PBE | optimized geometry
# **Formation energy**: 676 meV/atom
# **E above lowest polymorph**: 0.614 eV/atom
# **Calculated density**: 9.0 Mg/m³
# **E_tot**: -26.7 eV per cell
# **Total magnetic moment**: 0.000 μB per formula unit
data_P4Au3
_cell_length_a 6.1195
_cell_length_b 6.1195
_cell_length_c 4.0516
_cell_angle_alpha 90.00
_cell_angle_beta 90.00
_cell_angle_gamma 120.00
_symmetry_space_group_name_H-M 'P 6/m m m'
_symmetry_Int_Tables_number 191
_symmetry_space_group_name_Hall '-P 6 2'
loop_
_atom_site_label
_atom_site_fract_x
_atom_site_fract_y
_atom_site_fract_z
P1 0.0000 0.0000 0.2431
P2 0.3333 0.6667 0.0000
Au1 0.0000 0.5000 0.5000

***

Entry 15:
# P5Au | Alexandria | GGA-PBE | optimized geometry
# **Formation energy**: 742 meV/atom
# **E above lowest polymorph**: 0.627 eV/atom
# **Calculated density**: 6.0 Mg/m³
# **E_tot**: -25.9 eV per cell
# **Total magnetic moment**: 0.000 μB per formula unit
data_P5Au
_cell_length_a 4.9277
_cell_length_b 4.9277
_cell_length_c 4.6333
_cell_angle_alpha 90.00
_cell_angle_beta 90.00
_cell_angle_gamma 120.00
_symmetry_space_group_name_H-M 'P 6/m m m'
_symmetry_Int_Tables_number 191
_symmetry_space_group_name_Hall '-P 6 2'
loop_
_atom_site_label
_atom_site_fract_x
_atom_site_fract_y
_atom_site_fract_z
P1 0.0000 0.5000 0.0000
P2 0.3333 0.6667 0.5000
Au1 0.0000 0.0000 0.5000

***

Entry 16:
# P3Au5 | Alexandria | GGA-PBE | optimized geometry
# **Formation energy**: 326 meV/atom
# **E above lowest polymorph**: 0.238 eV/atom
# **Calculated density**: 11.6 Mg/m³
# **E_tot**: -60.0 eV per cell
# **Total magnetic moment**: 0.000 μB per formula unit
data_P3Au5
_cell_length_a 6.9588
_cell_length_b 6.9588
_cell_length_c 7.3552
_cell_angle_alpha 90.00
_cell_angle_beta 90.00
_cell_angle_gamma 120.00
_symmetry_space_group_name_H-M 'P 63/m c m'
_symmetry_Int_Tables_number 193
_symmetry_space_group_name_Hall '-P 6c 2'
loop_
_atom_site_label
_atom_site_fract_x
_atom_site_fract_y
_atom_site_fract_z
P1 0.0000 0.4131 0.2500
Au1 0.0000 0.2350 0.7500
Au2 0.3333 0.6667 0.0000

***

Entry 17:
# PAu | Alexandria | GGA-PBE | optimized geometry
# **Formation energy**: -32 meV/atom
# **E above lowest polymorph**: 0.096 eV/atom
# **Calculated density**: 9.5 Mg/m³
# **E_tot**: -17.5 eV per cell
# **Total magnetic moment**: 0.000 μB per formula unit
data_PAu
_cell_length_a 4.669
_cell_length_b 3.322
_cell_length_c 5.147
_cell_angle_alpha 90.00
_cell_angle_beta 91.29
_cell_angle_gamma 90.00
_symmetry_space_group_name_H-M 'P 1 21/m 1'
_symmetry_Int_Tables_number 11
loop_
_symmetry_equiv_pos_as_xyz
'x,y,z'
'-x,-y,-z'
'-x,y+1/2,-z'
'x,-y+1/2,z'
loop_
_atom_site_label
_atom_site_fract_x
_atom_site_fract_y
_atom_site_fract_z
P1 0.004 0.250 0.144
Au1 0.494 0.750 0.741

***

Entry 18:
# PAu | Alexandria | GGA-PBE | optimized geometry
# **Formation energy**: 497 meV/atom
# **E above lowest polymorph**: 0.625 eV/atom
# **Calculated density**: 10.8 Mg/m³
# **E_tot**: -15.4 eV per cell
# **Total magnetic moment**: 0.000 μB per formula unit
data_PAu
_cell_length_a 2.763
_cell_length_b 2.763
_cell_length_c 9.172
_cell_angle_alpha 90.00
_cell_angle_beta 90.00
_cell_angle_gamma 90.00
_symmetry_space_group_name_H-M 'P 4/n m m'
_symmetry_Int_Tables_number 129
loop_
_symmetry_equiv_pos_as_xyz
'x,y,z'
'-x,-y,-z'
'-y+1/2,x,z'
'y+1/2,-x,-z'
'-x+1/2,-y+1/2,z'
'x+1/2,y+1/2,-z'
'y,-x+1/2,z'
'-y,x+1/2,-z'
'x+1/2,-y,-z'
'-x+1/2,y,z'
'-y,-x,-z'
'y,x,z'
'-x,y+1/2,-z'
'x,-y+1/2,z'
'y+1/2,x+1/2,-z'
'-y+1/2,-x+1/2,z'
loop_
_atom_site_label
_atom_site_fract_x
_atom_site_fract_y
_atom_site_fract_z
P1 0.250 0.250 0.144
Au1 0.250 0.250 0.630

***

Entry 19:
# PAu | Alexandria | GGA-PBE | optimized geometry
# **Formation energy**: 283 meV/atom
# **E above lowest polymorph**: 0.411 eV/atom
# **Calculated density**: 10.9 Mg/m³
# **E_tot**: -16.2 eV per cell
# **Total magnetic moment**: 0.000 μB per formula unit
data_PAu
_cell_length_a 2.823
_cell_length_b 5.128
_cell_length_c 4.997
_cell_angle_alpha 90.00
_cell_angle_beta 106.28
_cell_angle_gamma 90.00
_symmetry_space_group_name_H-M 'P 1 21/m 1'
_symmetry_Int_Tables_number 11
loop_
_symmetry_equiv_pos_as_xyz
'x,y,z'
'-x,-y,-z'
'-x,y+1/2,-z'
'x,-y+1/2,z'
loop_
_atom_site_label
_atom_site_fract_x
_atom_site_fract_y
_atom_site_fract_z
P1 0.005 0.250 0.004
Au1 0.266 0.250 0.537

***

Entry 20:
# PAu | Alexandria | GGA-PBE | optimized geometry
# **Formation energy**: 635 meV/atom
# **E above lowest polymorph**: 0.762 eV/atom
# **Calculated density**: 9.1 Mg/m³
# **E_tot**: -29.7 eV per cell
# **Total magnetic moment**: 0.000 μB per formula unit
data_PAu
_cell_length_a 4.7264
_cell_length_b 4.7264
_cell_length_c 8.6301
_cell_angle_alpha 90.00
_cell_angle_beta 90.00
_cell_angle_gamma 120.00
_symmetry_space_group_name_H-M 'P 63/m m c'
_symmetry_Int_Tables_number 194
_symmetry_space_group_name_Hall '-P 6c 2c'
loop_
_atom_site_label
_atom_site_fract_x
_atom_site_fract_y
_atom_site_fract_z
P1 0.3333 0.6667 0.1290
Au1 0.0000 0.0000 0.2500
Au2 0.3333 0.6667 0.7500